## one
4
Lattice="0.000 3.799 3.799 3.799 0.000 3.799 3.799 3.799 0.000" Properties=species:S:1:pos:R:3 comment="Ac2IrSe PBE-GGA relaxed" total_magnetization_mub_per_cell=0.0 pbc="T T T"
Ac 1.899 1.899 1.899
Ac 5.698 5.698 5.698
Ir 0.000 0.000 0.000
Se 3.799 3.799 3.799

---

## two
4
Lattice="3.752 0.000 0.000 0.000 3.752 0.000 0.000 0.000 7.841" Properties=species:S:1:pos:R:3 comment="Ac2IrSe PBE-GGA relaxed" total_magnetization_mub_per_cell=0.0 pbc="T T T"
Ac 0.000 0.000 1.816
Ac 0.000 0.000 6.025
Ir 1.876 1.876 0.000
Se 1.876 1.876 3.920

---

The most stable of them is two.